i:
First-principles (PBE) data for a relaxed structure of Zn2HgIr2, as listed in the Alexandria database.

Summary:
DOS(E_F)   4.72 states/eV per cell

Cell: 7.2589 7.2589 3.0551 Å, 90.00 90.00 90.00°
Fractional coordinates of all 10 atoms:
1 Ir 0.1331 0.3669 0.0000
2 Zn 0.3366 0.1634 0.5000
3 Zn 0.8366 0.3366 0.5000
4 Zn 0.1634 0.6634 0.5000
5 Ir 0.3669 0.8669 0.0000
6 Ir 0.8669 0.6331 0.0000
7 Hg 0.5000 0.5000 0.0000
8 Ir 0.6331 0.1331 0.0000
9 Zn 0.6634 0.8366 0.5000
10 Hg 0.0000 0.0000 0.0000

ii:
First-principles (PBE) data for a relaxed structure of Zn2HgIr2, as listed in the Alexandria database.

Summary:
DOS(E_F)   9.46 states/eV per cell

Cell: 7.3693 7.3693 2.9133 Å, 90.00 90.00 90.00°
Fractional coordinates of all 10 atoms:
1 Zn 0.8723 0.6277 0.0000
2 Hg 0.5000 0.5000 0.0000
3 Zn 0.6277 0.1277 0.0000
4 Ir 0.8327 0.3327 0.5000
5 Ir 0.1673 0.6673 0.5000
6 Ir 0.6673 0.8327 0.5000
7 Zn 0.1277 0.3723 0.0000
8 Zn 0.3723 0.8723 0.0000
9 Hg 0.0000 0.0000 0.0000
10 Ir 0.3327 0.1673 0.5000

The structure with the most favorable energy is i; the runner-up is 10.0 kJ/mol of atoms above it.

i:
First-principles (PBE) data for a relaxed structure of ZrHgIr, as listed in the Alexandria database.

Summary:
DOS(E_F)   2.79 states/eV per cell

Cell: 4.5767 4.5767 4.5767 Å, 60.00 60.00 60.00°
Fractional coordinates of all 3 atoms:
1 Hg 0.0000 0.0000 0.0000
2 Zr 0.7500 0.7500 0.7500
3 Ir 0.5000 0.5000 0.5000

ii:
First-principles (PBE) data for a relaxed structure of ZrHgIr, as listed in the Alexandria database.

Summary:
DOS(E_F)   3.04 states/eV per cell

Cell: 3.7342 6.7189 7.6810 Å, 126.52 75.93 73.87°
Fractional coordinates of all 6 atoms:
1 Zr 0.8097 0.0433 0.3373
2 Zr 0.1903 0.9567 0.6627
3 Hg 0.7786 0.6628 0.7800
4 Ir 0.5878 0.6480 0.1765
5 Hg 0.2214 0.3372 0.2200
6 Ir 0.4122 0.3520 0.8235

iii:
First-principles (PBE) data for a relaxed structure of ZrHgIr, as listed in the Alexandria database.

Summary:
DOS(E_F)   2.17 states/eV per cell

Cell: 4.5456 4.5456 4.5456 Å, 60.00 60.00 60.00°
Fractional coordinates of all 3 atoms:
1 Hg 0.5000 0.5000 0.5000
2 Ir 0.7500 0.7500 0.7500
3 Zr 0.0000 0.0000 0.0000

The structure with the most favorable energy is ii; the runner-up is 15.1 kJ/mol of atoms above it.

i:
First-principles (PBE) data for a relaxed structure of ZrHgIr, as listed in the Alexandria database.

Summary:
DOS(E_F)   2.16 states/eV per cell

Cell: 3.6690 3.6690 5.7408 Å, 90.00 90.00 120.00°
Fractional coordinates of all 3 atoms:
1 Zr 0.6667 0.3333 0.6185
2 Ir 0.3333 0.6667 0.3600
3 Hg 0.0000 0.0000 0.0215

ii:
First-principles (PBE) data for a relaxed structure of ZrHgIr, as listed in the Alexandria database.

Summary:
DOS(E_F)   1.75 states/eV per cell

Cell: 4.6820 4.6820 2.9934 Å, 90.00 90.00 120.00°
Fractional coordinates of all 3 atoms:
1 Zr 0.3333 0.6667 0.6269
2 Ir 0.6667 0.3333 0.2632
3 Hg 0.0000 0.0000 0.1099

iii:
First-principles (PBE) data for a relaxed structure of ZrHgIr, as listed in the Alexandria database.

Summary:
DOS(E_F)   1.86 states/eV per cell

Cell: 5.2405 5.2405 5.2405 Å, 140.56 140.56 57.01°
Fractional coordinates of all 3 atoms:
1 Zr 0.6835 0.6835 0.0000
2 Ir 0.3185 0.3185 0.0000
3 Hg 0.9979 0.9979 0.0000

The structure with the most favorable energy is iii; the runner-up is 16.1 kJ/mol of atoms above it.

i:
First-principles (PBE) data for a relaxed structure of KHg4, as listed in the Alexandria database.

Summary:
DOS(E_F)   3.16 states/eV per cell

Cell: 6.6435 6.6435 6.6435 Å, 90.00 90.00 90.00°
Fractional coordinates of all 5 atoms:
1 K 0.5000 0.5000 0.5000
2 Hg 0.5000 0.0000 0.5000
3 Hg 0.0000 0.0000 0.0000
4 Hg 0.5000 0.5000 0.0000
5 Hg 0.0000 0.5000 0.5000

ii:
First-principles (PBE) data for a relaxed structure of KHg4, as listed in the Alexandria database.

Summary:
DOS(E_F)   2.10 states/eV per cell

Cell: 4.9869 4.9869 7.3332 Å, 109.88 109.88 90.00°
Fractional coordinates of all 5 atoms:
1 K 0.0000 0.0000 0.0000
2 Hg 0.2500 0.7500 0.5000
3 Hg 0.6138 0.6138 0.2277
4 Hg 0.7500 0.2500 0.5000
5 Hg 0.3862 0.3862 0.7723

The structure with the most favorable energy is ii; the runner-up is 27.6 kJ/mol of atoms above it.

i:
First-principles (PBE) data for a relaxed structure of KHg4, as listed in the Alexandria database.

Summary:
DOS(E_F)   9.38 states/eV per cell

Cell: 9.4475 9.4475 9.4475 Å, 109.47 109.47 109.47°
Fractional coordinates of all 20 atoms:
1 Hg 0.0000 0.0000 0.2149
2 Hg 0.3459 0.3459 0.0000
3 Hg 0.7851 0.7851 0.7851
4 Hg 0.2503 0.5000 0.7503
5 K 0.0000 0.0000 0.5754
6 K 0.5754 0.0000 0.0000
7 K 0.4246 0.4246 0.4246
8 Hg 0.6541 0.0000 0.6541
9 Hg 0.7503 0.2503 0.5000
10 Hg 0.2497 0.7497 0.5000
11 Hg 0.0000 0.3459 0.3459
12 Hg 0.3459 0.0000 0.3459
13 Hg 0.6541 0.6541 0.0000
14 Hg 0.0000 0.6541 0.6541
15 Hg 0.7497 0.5000 0.2497
16 Hg 0.0000 0.2149 0.0000
17 Hg 0.5000 0.2497 0.7497
18 Hg 0.2149 0.0000 0.0000
19 Hg 0.5000 0.7503 0.2503
20 K 0.0000 0.5754 0.0000

ii:
First-principles (PBE) data for a relaxed structure of KHg4, as listed in the Alexandria database.

Summary:
DOS(E_F)   1.70 states/eV per cell

Cell: 3.7559 5.4198 8.0273 Å, 107.99 103.44 89.85°
Fractional coordinates of all 5 atoms:
1 K 0.5000 0.0000 0.5000
2 Hg 0.7866 0.7914 0.0718
3 Hg 0.1087 0.6061 0.7155
4 Hg 0.8913 0.3939 0.2845
5 Hg 0.2134 0.2086 0.9282

iii:
First-principles (PBE) data for a relaxed structure of KHg4, as listed in the Alexandria database.

Summary:
DOS(E_F)   2.26 states/eV per cell

Cell: 6.6586 6.6586 6.6586 Å, 109.47 109.47 109.47°
Fractional coordinates of all 5 atoms:
1 Hg 0.5000 0.0000 0.0000
2 Hg 0.0000 0.0000 0.5000
3 Hg 0.0000 0.5000 0.0000
4 K 0.0000 0.0000 0.0000
5 Hg 0.5000 0.5000 0.5000

The structure with the most favorable energy is ii; the runner-up is 0.8 kJ/mol of atoms above it.

i:
First-principles (PBE) data for a relaxed structure of K5Hg, as listed in the Alexandria database.

Summary:
DOS(E_F)   4.08 states/eV per cell

Cell: 8.0207 8.0207 11.0936 Å, 67.59 67.59 32.69°
Fractional coordinates of all 6 atoms:
1 K 0.6414 0.6414 0.7718
2 K 0.3033 0.3033 0.3388
3 Hg 0.9728 0.9728 0.0539
4 K 0.9728 0.9728 0.5565
5 K 0.5995 0.5995 0.1829
6 K 0.3435 0.3435 0.9294

ii:
First-principles (PBE) data for a relaxed structure of K5Hg, as listed in the Alexandria database.

Summary:
DOS(E_F)   4.26 states/eV per cell

Cell: 8.1966 8.1966 7.7977 Å, 90.00 90.00 120.00°
Fractional coordinates of all 6 atoms:
1 K 0.6667 0.3333 0.0000
2 Hg 0.0000 0.0000 0.0000
3 K 0.5000 0.5000 0.5000
4 K 0.5000 0.0000 0.5000
5 K 0.0000 0.5000 0.5000
6 K 0.3333 0.6667 0.0000

iii:
First-principles (PBE) data for a relaxed structure of K5Hg, as listed in the Alexandria database.

Summary:
DOS(E_F)   4.05 states/eV per cell

Cell: 4.6680 6.9954 11.4883 Å, 107.73 90.00 90.00°
Fractional coordinates of all 6 atoms:
1 K 0.0000 0.3136 0.6273
2 K 0.0000 0.6864 0.3727
3 K 0.5000 0.8756 0.7513
4 Hg 0.0000 0.0000 0.0000
5 K 0.5000 0.1244 0.2487
6 K 0.5000 0.5000 0.0000

The structure with the most favorable energy is i; the runner-up is 1.0 kJ/mol of atoms above it.